Entry 1:
A plane-wave DFT calculation with GGA-PBE was carried out for a relaxed structure of Rb2HoH4.

Summary:
E_tot   -3.077 eV per atom

Lattice parameters (Å, degrees): 4.3488 4.3488 15.0396 90.00 90.00 90.00
Closest atoms and distances in Å follow each position.
Space group I4/mmm (No. 139)
Asymmetric unit:
Rb (0.0000, 0.0000, 0.1551) x4  9 H 2.97-3.19
Ho (0.0000, 0.0000, 0.5000) x2  6 H 2.17-2.22
H (0.0000, 0.0000, 0.3523) x4  1 Ho 2.22
H (0.0000, 0.5000, 0.0000) x4  2 Ho 2.17

=====

Entry 2:
A plane-wave DFT calculation with GGA-PBE was carried out for a relaxed structure of Ho12Re3H5.

Summary:
E_tot   -5.598 eV per atom

Lattice parameters (Å, degrees): 15.0710 15.0710 15.0710 90.00 90.00 90.00
Closest atoms and distances in Å follow each position.
Space group Ia-3d (No. 230)
Asymmetric unit:
Ho (0.0322, 0.0612, 0.6557) x96  1 H 2.20
Re (0.0000, 0.2500, 0.1250) x24  8 Ho 2.91-2.92
H (0.0000, 0.0000, 0.0000) x16  6 Ho 2.57
H (0.0000, 0.2500, 0.3750) x24  4 Ho 2.20

=====

Entry 3:
A plane-wave DFT calculation with GGA-PBE was carried out for a relaxed structure of HoH6Rh2.

Summary:
Polymorph energy (0 for the lowest one)   0 meV per atom

Lattice parameters (Å, degrees): 5.6194 5.6235 5.7607 90.00 117.85 90.00
Closest atoms and distances in Å follow each position.
Space group C2/m (No. 12)
Asymmetric unit:
Ho (0.0000, 0.0000, 0.0000) x2  8 H 2.17-2.19
H (0.1534, 0.2607, 0.8247) x8  1 Rh 1.65, 1 H 1.80
H (0.2378, 0.0000, 0.5006) x4  4 Rh 1.95-2.03
Rh (0.0000, 0.2529, 0.5000) x4  2 H 1.65

=====

Entry 4:
A plane-wave DFT calculation with GGA-PBE was carried out for a relaxed structure of HoH6Rh2.

Summary:
Polymorph energy (0 for the lowest one)   76 meV per atom

Lattice parameters (Å, degrees): 8.1656 3.6433 6.1935 90.00 117.04 90.00
Closest atoms and distances in Å follow each position.
Space group C2/m (No. 12)
Asymmetric unit:
Ho (0.0000, 0.0000, 0.0000) x2  6 H 2.17-2.28
H (0.0030, 0.0000, 0.3518) x4  2 Rh 1.70-1.78, 1 H 1.86
H (0.1826, 0.5000, 0.0582) x4  1 Rh 1.68
H (0.2077, 0.5000, 0.6279) x4  2 Rh 1.82
Rh (0.2018, 0.0000, 0.6380) x4  5 H 1.68-1.82

=====

Entry 5:
A plane-wave DFT calculation with GGA-PBE was carried out for a relaxed structure of Ho2HRh4.

Summary:
E_tot   -6.477 eV per atom

Lattice parameters (Å, degrees): 4.0837 4.0837 13.6276 90.00 90.00 90.00
Closest atoms and distances in Å follow each position.
Space group I4/mmm (No. 139)
Asymmetric unit:
Ho (0.0000, 0.0000, 0.1526) x4  9 Rh 2.81-2.91
H (0.0000, 0.0000, 0.5000) x2  6 Rh 1.93-2.04
Rh (0.0000, 0.0000, 0.3584) x4  1 H 1.93
Rh (0.0000, 0.5000, 0.0000) x4  2 H 2.04

=====

Entry 6:
A plane-wave DFT calculation with GGA-PBE was carried out for a relaxed structure of Ho2H8Rh3.

Summary:
E_tot   -4.872 eV per atom

Lattice parameters (Å, degrees): 9.4857 5.6615 4.9802 90.00 111.48 90.00
Closest atoms and distances in Å follow each position.
Space group C2/m (No. 12)
Asymmetric unit:
Ho (0.1969, 0.0000, 0.1932) x4  6 H 2.24-2.33
H (0.1043, 0.5000, 0.3800) x4  3 Rh 1.79-1.96
H (0.1071, 0.2964, 0.8801) x8  2 Rh 1.78-1.81
H (0.1286, 0.0000, 0.5850) x4  2 Rh 1.79
Rh (0.0000, 0.2449, 0.5000) x4  6 H 1.79-1.96
Rh (0.0000, 0.5000, 0.0000) x2  6 H 1.78-1.79

=====

Entry 7:
A plane-wave DFT calculation with GGA-PBE was carried out for a relaxed structure of HoHRh3.

Summary:
E_tot   -6.528 eV per atom

Lattice parameters (Å, degrees): 4.0731 4.0731 4.0731 90.00 90.00 90.00
Closest atoms and distances in Å follow each position.
Space group Pm-3m (No. 221)
Asymmetric unit:
Ho (0.0000, 0.0000, 0.0000) x1  12 Rh 2.88
H (0.5000, 0.5000, 0.5000) x1  6 Rh 2.04
Rh (0.0000, 0.5000, 0.5000) x3  2 H 2.04

=====

Entry 8:
A plane-wave DFT calculation with GGA-PBE was carried out for a relaxed structure of HoH4Rh2.

Summary:
E_tot   -5.048 eV per atom

Lattice parameters (Å, degrees): 3.0855 9.9390 8.3985 90.00 90.00 90.00
Closest atoms and distances in Å follow each position.
Space group Cmcm (No. 63)
Asymmetric unit:
Ho (0.0000, 0.0984, 0.2500) x4  4 H 2.23-2.32
H (0.0000, 0.0000, 0.0000) x4  4 Rh 2.10, 2 Ho 2.32
H (0.0000, 0.2449, 0.6049) x8  3 Rh 1.82-1.94
H (0.0000, 0.4363, 0.2500) x4  2 Rh 1.76
Rh (0.0000, 0.3658, 0.0578) x8  4 H 1.76-1.94

=====

Entry 9:
A plane-wave DFT calculation with GGA-PBE was carried out for a relaxed structure of HoH12Rh5.

Summary:
E_tot   -4.668 eV per atom

Lattice parameters (Å, degrees): 3.7350 5.7579 6.9943 102.26 104.55 90.24
Closest atoms and distances in Å follow each position.
Space group P-1 (No. 2)
Asymmetric unit:
Ho (0.0000, 0.0000, 0.0000) x1  8 H 2.23-2.39
H (0.1487, 0.6337, 0.8433) x2  2 Rh 1.71-1.78
H (0.1507, 0.2852, 0.8432) x2  2 Rh 1.73-1.77
H (0.1990, 0.3580, 0.4608) x2  3 Rh 1.86-1.94
H (0.2275, 0.8693, 0.4519) x2  4 Rh 1.86-2.00
H (0.3938, 0.5603, 0.2388) x2  3 Rh 1.78-1.87
H (0.4282, 0.9523, 0.7941) x2  2 Rh 1.73-1.74
Rh (0.3232, 0.6661, 0.6461) x2  4 H 1.71-1.90
Rh (0.3264, 0.1588, 0.6410) x2  6 H 1.73-1.93
Rh (0.5000, 0.5000, 0.0000) x1  6 H 1.77-1.78

=====

Entry 10:
A plane-wave DFT calculation with GGA-PBE was carried out for a relaxed structure of Ho3HRh8.

Summary:
E_tot   -6.819 eV per atom

Lattice parameters (Å, degrees): 5.2961 5.2961 25.8406 90.00 90.00 120.00
Closest atoms and distances in Å follow each position.
Space group R3m (No. 160, hexagonal axes)
Asymmetric unit:
Ho (0.0000, 0.0000, 0.0000) x3  12 Rh 2.94-3.21, 3 H 3.17
Ho (0.0000, 0.0000, 0.1319) x3  12 Rh 3.09-3.11, 4 Ho 3.39-3.41
Ho (0.0000, 0.0000, 0.5215) x3  9 Rh 2.92-3.19
H (0.0000, 0.0000, 0.6988) x3  3 Rh 1.84
Rh (0.0000, 0.0000, 0.3186) x3  6 Rh 2.62-2.66
Rh (0.0000, 0.0000, 0.8198) x3  6 Rh 2.64
Rh (0.0052, 0.5026, 0.0703) x9  1 H 1.84
Rh (0.1674, 0.3349, 0.9028) x9  6 Rh 2.62-2.66, 2 Ho 2.92

=====

Entry 11:
A plane-wave DFT calculation with GGA-PBE was carried out for a relaxed structure of HoH2Rh.

Summary:
E_tot   -5.268 eV per atom

Lattice parameters (Å, degrees): 6.1656 6.2716 4.9136 90.00 90.00 90.00
Closest atoms and distances in Å follow each position.
Space group Pna2_1 (No. 33)
Asymmetric unit:
Ho (0.1783, 0.1267, 0.0000) x4  6 H 2.36-2.65
H (0.0267, 0.4392, 0.8097) x4  2 Rh 1.80-1.82
H (0.1642, 0.1122, 0.5006) x4  2 Rh 1.78-1.87
Rh (0.0424, 0.6898, 0.9942) x4  4 H 1.78-1.87

=====

Entry 12:
A plane-wave DFT calculation with GGA-PBE was carried out for a relaxed structure of HoH12Rh7.

Summary:
E_tot   -4.902 eV per atom

Lattice parameters (Å, degrees): 7.8180 7.8180 9.6084 90.00 90.00 120.00
Closest atoms and distances in Å follow each position.
Space group R-3 (No. 148, hexagonal axes)
Asymmetric unit:
Ho (0.0000, 0.0000, 0.0000) x3  6 H 2.31
H (0.0316, 0.8343, 0.3853) x18  4 Rh 1.81-1.94
H (0.0337, 0.7476, 0.9037) x18  3 Rh 1.82-1.89, 1 H 2.04
Rh (0.0000, 0.0000, 0.5000) x3  6 H 1.81
Rh (0.0362, 0.7891, 0.7168) x18  6 H 1.82-1.94

=====

Number 1: calculated volume 20.32 Å³/atom. Number 2: calculated volume 21.39 Å³/atom. Number 3: calculated volume 8.94 Å³/atom. Number 4: calculated volume 9.12 Å³/atom. Number 5: calculated volume 16.23 Å³/atom. Number 6: calculated volume 9.57 Å³/atom. Number 7: calculated volume 13.52 Å³/atom. Number 8: calculated volume 9.20 Å³/atom. Number 9: calculated volume 7.89 Å³/atom. Number 10: calculated volume 17.44 Å³/atom. Number 11: calculated volume 11.87 Å³/atom. Number 12: calculated volume 8.48 Å³/atom.